[1]
The following is a PBE calculation of PmSmIn4 after structural relaxation, from the Alexandria database.

```
PmSmIn4
1.0
-2.367 3.735 4.573
2.367 -3.735 4.573
2.367 3.735 -4.573
Pm Sm In
1 1 4
direct
0.000 0.000 0.000
0.385 0.885 0.500
0.397 0.602 0.795
0.578 0.284 0.294
0.808 0.602 0.205
0.990 0.284 0.706
```

Calculated total energy in eV per atom: -3.86
ΔE to the lowest computed polymorph in eV per formula unit: 0.00
Space-group type: Imm2 (44)



[2]
The following is a PBE calculation of Pm12Sm6In after structural relaxation, from the Alexandria database.

```
Pm12Sm6In
1.0
6.604 3.813 4.345
-6.604 3.813 4.345
0.000 -7.625 4.345
Pm Sm In
12 6 1
direct
0.000 0.259 0.741
0.000 0.741 0.259
0.172 0.580 0.580
0.259 0.000 0.741
0.259 0.741 0.000
0.420 0.420 0.828
0.420 0.828 0.420
0.580 0.172 0.580
0.580 0.580 0.172
0.741 0.000 0.259
0.741 0.259 0.000
0.828 0.420 0.420
0.134 0.134 0.406
0.134 0.406 0.134
0.406 0.134 0.134
0.594 0.866 0.866
0.866 0.594 0.866
0.866 0.866 0.594
0.000 0.000 0.000
```

Calculated total energy in eV per atom: -4.56
ΔE to the lowest computed polymorph in eV per formula unit: 0.34
Space-group type: R-3m (166)



[3]
The following is a PBE calculation of SrPmSmIn after structural relaxation, from the Alexandria database.

```
SrPmSmIn
1.0
0.000 4.021 4.021
4.021 0.000 4.021
4.021 4.021 0.000
Sr Pm Sm In
1 1 1 1
direct
0.000 0.000 0.000
0.250 0.250 0.250
0.750 0.750 0.750
0.500 0.500 0.500
```

Calculated total energy in eV per atom: -3.54
Space-group type: F-43m (216)



[4]
The following is a PBE calculation of TbPm2Sm5In after structural relaxation, from the Alexandria database.

```
TbPm2Sm5In
1.0
2.750 -10.090 0.000
2.750 10.090 0.000
0.000 0.000 10.785
Tb Pm Sm In
2 4 10 2
direct
0.202 0.798 0.750
0.798 0.202 0.250
0.116 0.884 0.045
0.116 0.884 0.455
0.884 0.116 0.545
0.884 0.116 0.955
0.014 0.986 0.750
0.290 0.710 0.050
0.290 0.710 0.450
0.382 0.618 0.750
0.500 0.500 0.000
0.500 0.500 0.500
0.618 0.382 0.250
0.710 0.290 0.550
0.710 0.290 0.950
0.986 0.014 0.250
0.405 0.595 0.250
0.595 0.405 0.750
```

Calculated total energy in eV per atom: -4.51
Space-group type: Cmcm (63)



[5]
The following is a PBE calculation of TbPmSmIn after structural relaxation, from the Alexandria database.

```
TbPmSmIn
1.0
0.000 3.910 3.910
3.910 0.000 3.910
3.910 3.910 0.000
Tb Pm Sm In
1 1 1 1
direct
0.000 0.000 0.000
0.750 0.750 0.750
0.500 0.500 0.500
0.250 0.250 0.250
```

Calculated total energy in eV per atom: -4.33
Space-group type: F-43m (216)



[6]
The following is a PBE calculation of Tb2Pm3Sm6In after structural relaxation, from the Alexandria database.

```
Tb2Pm3Sm6In
1.0
3.104 -5.392 0.000
3.104 5.392 0.000
-2.105 0.000 11.644
Tb Pm Sm In
2 3 6 1
direct
0.166 0.834 0.000
0.834 0.166 0.000
0.000 0.000 0.500
0.332 0.668 0.500
0.668 0.332 0.500
0.093 0.420 0.756
0.254 0.254 0.246
0.420 0.093 0.756
0.580 0.907 0.244
0.746 0.746 0.754
0.907 0.580 0.244
0.500 0.500 0.000
```

Calculated total energy in eV per atom: -4.59
Space-group type: C2/m (12)



[7]
The following is a PBE calculation of TbPmSm2In4 after structural relaxation, from the Alexandria database.

```
TbPmSm2In4
1.0
2.700 1.559 8.831
-2.700 1.559 8.831
0.000 -3.117 8.831
Tb Pm Sm In
1 1 2 4
direct
0.000 0.000 0.000
0.500 0.500 0.500
0.250 0.250 0.250
0.750 0.750 0.750
0.124 0.124 0.124
0.374 0.374 0.374
0.626 0.626 0.626
0.876 0.876 0.876
```

Calculated total energy in eV per atom: -4.21
Space-group type: R-3m (166)



[8]
The following is a PBE calculation of Tb2Pm6Sm3In after structural relaxation, from the Alexandria database.

```
Tb2Pm6Sm3In
1.0
3.108 -5.404 0.000
3.108 5.404 0.000
-2.118 0.000 11.662
Tb Pm Sm In
2 6 3 1
direct
0.166 0.834 0.000
0.834 0.166 0.000
0.093 0.419 0.755
0.255 0.255 0.247
0.419 0.093 0.755
0.581 0.907 0.245
0.745 0.745 0.753
0.907 0.581 0.245
0.000 0.000 0.500
0.332 0.668 0.500
0.668 0.332 0.500
0.500 0.500 0.000
```

Calculated total energy in eV per atom: -4.59
Space-group type: C2/m (12)



[9]
The following is a PBE calculation of Tb3Pm2Sm6In after structural relaxation, from the Alexandria database.

```
Tb3Pm2Sm6In
1.0
3.090 -5.361 0.000
3.090 5.361 0.000
-2.075 0.000 11.667
Tb Pm Sm In
3 2 6 1
direct
0.000 0.000 0.000
0.333 0.667 0.000
0.667 0.333 0.000
0.166 0.834 0.500
0.834 0.166 0.500
0.091 0.417 0.251
0.257 0.257 0.750
0.417 0.091 0.251
0.583 0.909 0.749
0.743 0.743 0.250
0.909 0.583 0.749
0.500 0.500 0.500
```

Calculated total energy in eV per atom: -4.59
Space-group type: C2/m (12)



[10]
The following is a PBE calculation of Tb3Pm6Sm2In after structural relaxation, from the Alexandria database.

```
Tb3Pm6Sm2In
1.0
3.098 -5.379 0.000
3.098 5.379 0.000
-2.085 0.000 11.678
Tb Pm Sm In
3 6 2 1
direct
0.000 0.000 0.000
0.332 0.668 0.000
0.668 0.332 0.000
0.091 0.417 0.251
0.257 0.257 0.750
0.417 0.091 0.251
0.583 0.909 0.749
0.743 0.743 0.250
0.909 0.583 0.749
0.166 0.834 0.500
0.834 0.166 0.500
0.500 0.500 0.500
```

Calculated total energy in eV per atom: -4.60
Space-group type: C2/m (12)



[11]
The following is a PBE calculation of Tb6Pm3Sm2In after structural relaxation, from the Alexandria database.

```
Tb6Pm3Sm2In
1.0
3.078 -5.336 0.000
3.078 5.336 0.000
-2.063 0.000 11.607
Tb Pm Sm In
6 3 2 1
direct
0.081 0.408 0.746
0.245 0.245 0.253
0.408 0.081 0.746
0.592 0.919 0.254
0.755 0.755 0.747
0.919 0.592 0.254
0.168 0.832 0.000
0.500 0.500 0.000
0.832 0.168 0.000
0.334 0.666 0.500
0.666 0.334 0.500
0.000 0.000 0.500
```

Calculated total energy in eV per atom: -4.57
Space-group type: C2/m (12)



[12]
The following is a PBE calculation of Pm2SmIn3Te6 after structural relaxation, from the Alexandria database.

```
Pm2SmIn3Te6
1.0
3.889 -6.738 0.000
3.889 6.738 0.000
-2.595 0.000 8.112
Pm Sm In Te
2 1 3 6
direct
0.167 0.833 0.000
0.833 0.167 0.000
0.500 0.500 0.000
0.000 0.000 0.500
0.333 0.667 0.500
0.667 0.333 0.500
0.093 0.425 0.775
0.243 0.243 0.225
0.425 0.093 0.775
0.575 0.907 0.225
0.757 0.757 0.775
0.907 0.575 0.225
```

Calculated total energy in eV per atom: -4.43
Space-group type: C2/m (12)



Per-record calculated volume, Å³/cell: 162 656 130 599 120 390 223 392 387 389 381 425
Per-record DOS at the Fermi energy, states/eV per cell: 4.3 30.4 4.4 26.2 5.6 15.1 3.3 14.6 14.1 13.9 16.2 1.4